(1)
First-principles (PBE) data for a geometry-optimized Rb2UCuCl6 structure, as listed in the Alexandria database.

Properties
Spin magnetization (μB per formula unit): 3.00
Calculated volume (Å³ per atom): 30.740
Formation energy without anion corrections (eV per formula unit): -14.9
Symmetry: No. 164

a = 7.4618 Å, b = 7.4618 Å, c = 6.3750 Å
α = 90.00°, β = 90.00°, γ = 120.00°
Last column: nearest neighbours and their distance in Å.
Atoms (fractional coordinates):
Rb (0.3333, 0.6667, 0.3014)  9 Cl 3.51-3.74
Rb (0.6667, 0.3333, 0.6986)  9 Cl 3.51-3.74
U (0.0000, 0.0000, 0.0000)  6 Cl 2.73
Cu (0.0000, 0.0000, 0.5000)  6 Cl 2.62
Cl (0.1660, 0.3321, 0.7351)  1 Cu 2.62, 1 U 2.73
Cl (0.1660, 0.8340, 0.7351)  1 Cu 2.62, 1 U 2.73
Cl (0.3321, 0.1660, 0.2649)  1 Cu 2.62, 1 U 2.73
Cl (0.6679, 0.8340, 0.7351)  1 Cu 2.62, 1 U 2.73
Cl (0.8340, 0.1660, 0.2649)  1 Cu 2.62, 1 U 2.73
Cl (0.8340, 0.6679, 0.2649)  1 Cu 2.62, 1 U 2.73


(2)
First-principles (PBE) data for a geometry-optimized RbUCuCl6 structure, as listed in the Alexandria database.

Properties
Spin magnetization (μB per formula unit): 2.00
Calculated volume (Å³ per atom): 38.496
Formation energy without anion corrections (eV per formula unit): -13.3
Symmetry: No. 74

a = 10.8000 Å, b = 10.8000 Å, c = 10.8000 Å
α = 138.68°, β = 121.53°, γ = 74.09°
Last column: nearest neighbours and their distance in Å.
Atoms (fractional coordinates):
Rb (0.2520, 0.0020, 0.2500)  5 Cl 3.37-3.38
Rb (0.7480, 0.9980, 0.7500)  5 Cl 3.37-3.38
U (0.0000, 0.5000, 0.5000)  6 Cl 2.58-2.77
U (0.5000, 0.5000, 0.0000)  6 Cl 2.58-2.77
Cu (0.0000, 0.0000, 0.5000)  2 Cl 2.14
Cu (0.0000, 0.5000, 0.0000)  2 Cl 2.14
Cl (0.0564, 0.8064, 0.2500)  2 Cu 2.14
Cl (0.1445, 0.3571, 0.3011)  1 U 2.58
Cl (0.1445, 0.8435, 0.7874)  1 U 2.58
Cl (0.2016, 0.4516, 0.7500)  2 U 2.77
Cl (0.4439, 0.1565, 0.8011)  1 U 2.58
Cl (0.4439, 0.6429, 0.2874)  1 U 2.58
Cl (0.5561, 0.3571, 0.7126)  1 U 2.58
Cl (0.5561, 0.8435, 0.1989)  1 U 2.58
Cl (0.7984, 0.5484, 0.2500)  2 U 2.77
Cl (0.8555, 0.1565, 0.2126)  1 U 2.58
Cl (0.8555, 0.6429, 0.6989)  1 U 2.58
Cl (0.9436, 0.1936, 0.7500)  2 Cu 2.14


(3)
First-principles (PBE) data for a geometry-optimized Rb2VCuCl6 structure, as listed in the Alexandria database.

Properties
Spin magnetization (μB per formula unit): 2.00
Calculated volume (Å³ per atom): 26.239
Formation energy without anion corrections (eV per formula unit): -13.6
Symmetry: No. 44

a = 7.0237 Å, b = 7.0237 Å, c = 7.0237 Å
α = 115.97°, β = 101.45°, γ = 111.32°
Last column: nearest neighbours and their distance in Å.
Atoms (fractional coordinates):
Rb (0.2451, 0.0000, 0.2451)  11 Cl 3.44-3.74, 1 Cu 3.84
Rb (0.7549, 0.0000, 0.7549)  11 Cl 3.44-3.74, 1 Cu 3.84
V (0.5043, 0.5043, 0.0000)  6 Cl 2.33-2.52
Cu (0.8919, 0.3919, 0.5000)  4 Cl 2.31-2.36
Cl (0.2583, 0.5294, 0.7288)  1 Cu 2.31, 1 V 2.42
Cl (0.2998, 0.0752, 0.7754)  1 V 2.33
Cl (0.2998, 0.5244, 0.2246)  1 V 2.33
Cl (0.7368, 0.5067, 0.7699)  1 Cu 2.36, 1 V 2.52
Cl (0.7368, 0.9669, 0.2301)  1 Cu 2.36, 1 V 2.52
Cl (0.8006, 0.5294, 0.2712)  1 Cu 2.31, 1 V 2.42


(4)
First-principles (PBE) data for a geometry-optimized Rb3VCu2Cl9 structure, as listed in the Alexandria database.

Properties
Spin magnetization (μB per formula unit): 2.39
Calculated volume (Å³ per atom): 25.244
Formation energy without anion corrections (eV per formula unit): -19.1
Symmetry: No. 164

a = 7.0932 Å, b = 7.0932 Å, c = 8.6902 Å
α = 90.00°, β = 90.00°, γ = 120.00°
Last column: nearest neighbours and their distance in Å.
Atoms (fractional coordinates):
Rb (0.0000, 0.0000, 0.0000)  12 Cl 3.55-3.56
Rb (0.3333, 0.6667, 0.6673)  12 Cl 3.54-3.55
Rb (0.6667, 0.3333, 0.3327)  12 Cl 3.54-3.55
V (0.0000, 0.0000, 0.5000)  6 Cl 2.39
Cu (0.3333, 0.6667, 0.1301)  3 Cl 2.34
Cu (0.6667, 0.3333, 0.8699)  3 Cl 2.34
Cl (0.0000, 0.5000, 0.0000)  2 Cu 2.34
Cl (0.1596, 0.3191, 0.3426)  1 V 2.39
Cl (0.1596, 0.8404, 0.3426)  1 V 2.39
Cl (0.3191, 0.1596, 0.6574)  1 V 2.39
Cl (0.5000, 0.0000, 0.0000)  2 Cu 2.34
Cl (0.5000, 0.5000, 0.0000)  2 Cu 2.34
Cl (0.6809, 0.8404, 0.3426)  1 V 2.39
Cl (0.8404, 0.1596, 0.6574)  1 V 2.39
Cl (0.8404, 0.6809, 0.6574)  1 V 2.39


(5)
First-principles (PBE) data for a geometry-optimized RbV2CuCl8 structure, as listed in the Alexandria database.

Properties
Spin magnetization (μB per formula unit): 4.00
Calculated volume (Å³ per atom): 28.782
Formation energy without anion corrections (eV per formula unit): -13.9
Symmetry: No. 2

a = 6.4782 Å, b = 7.3683 Å, c = 7.9881 Å
α = 105.17°, β = 108.42°, γ = 92.96°
Last column: nearest neighbours and their distance in Å.
Atoms (fractional coordinates):
Rb (0.0000, 0.0000, 0.0000)  6 Cl 3.16-3.46
V (0.0271, 0.7490, 0.5001)  6 Cl 2.27-2.51
V (0.9729, 0.2510, 0.4999)  6 Cl 2.27-2.51
Cu (0.0000, 0.5000, 0.0000)  2 Cl 2.13
Cl (0.1800, 0.3490, 0.8405)  1 Cu 2.13
Cl (0.1966, 0.4594, 0.4231)  2 V 2.38-2.47
Cl (0.2062, 0.0180, 0.4370)  2 V 2.40-2.49
Cl (0.3062, 0.8337, 0.7756)  1 V 2.27
Cl (0.6938, 0.1663, 0.2244)  1 V 2.27
Cl (0.7938, 0.9820, 0.5630)  2 V 2.40-2.49
Cl (0.8034, 0.5406, 0.5769)  2 V 2.38-2.47
Cl (0.8200, 0.6510, 0.1595)  1 Cu 2.13


(6)
First-principles (PBE) data for a geometry-optimized RbVCuCl5 structure, as listed in the Alexandria database.

Properties
Spin magnetization (μB per formula unit): 2.00
Calculated volume (Å³ per atom): 25.918
Formation energy without anion corrections (eV per formula unit): -9.7
Symmetry: No. 15

a = 7.1548 Å, b = 7.1548 Å, c = 9.1497 Å
α = 102.93°, β = 102.93°, γ = 107.12°
Last column: nearest neighbours and their distance in Å.
Atoms (fractional coordinates):
Rb (0.1563, 0.8437, 0.7500)  7 Cl 3.21-3.43
Rb (0.8437, 0.1563, 0.2500)  7 Cl 3.21-3.43
V (0.5000, 0.5000, 0.0000)  6 Cl 2.40-2.44
V (0.5000, 0.5000, 0.5000)  6 Cl 2.40-2.44
Cu (0.1910, 0.8090, 0.2500)  4 Cl 2.31-2.36
Cu (0.8090, 0.1910, 0.7500)  4 Cl 2.31-2.36
Cl (0.1390, 0.2790, 0.9280)  1 Cu 2.36, 1 V 2.44
Cl (0.2110, 0.5966, 0.4043)  1 Cu 2.31, 1 V 2.41
Cl (0.2790, 0.1390, 0.4280)  1 Cu 2.36, 1 V 2.44
Cl (0.4034, 0.7890, 0.0957)  1 Cu 2.31, 1 V 2.41
Cl (0.4373, 0.5627, 0.7500)  2 V 2.40
Cl (0.5627, 0.4373, 0.2500)  2 V 2.40
Cl (0.5966, 0.2110, 0.9043)  1 Cu 2.31, 1 V 2.41
Cl (0.7210, 0.8610, 0.5720)  1 Cu 2.36, 1 V 2.44
Cl (0.7890, 0.4034, 0.5957)  1 Cu 2.31, 1 V 2.41
Cl (0.8610, 0.7210, 0.0720)  1 Cu 2.36, 1 V 2.44


(7)
First-principles (PBE) data for a geometry-optimized RbVCuCl6 structure, as listed in the Alexandria database.

Properties
Spin magnetization (μB per formula unit): 1.00
Calculated volume (Å³ per atom): 28.583
Formation energy without anion corrections (eV per formula unit): -10.5
Symmetry: No. 149

a = 6.3509 Å, b = 6.3509 Å, c = 7.3639 Å
α = 90.00°, β = 90.00°, γ = 120.00°
Last column: nearest neighbours and their distance in Å.
Atoms (fractional coordinates):
Rb (0.0000, 0.0000, 0.0000)  6 Cl 3.31
V (0.6667, 0.3333, 0.5000)  6 Cl 2.36
Cu (0.3333, 0.6667, 0.5000)  6 Cl 2.48
Cl (0.3771, 0.0147, 0.6827)  1 V 2.36, 1 Cu 2.48
Cl (0.3771, 0.3624, 0.3173)  1 V 2.36, 1 Cu 2.48
Cl (0.6376, 0.0147, 0.3173)  1 V 2.36, 1 Cu 2.48
Cl (0.6376, 0.6229, 0.6827)  1 V 2.36, 1 Cu 2.48
Cl (0.9853, 0.3624, 0.6827)  1 V 2.36, 1 Cu 2.48
Cl (0.9853, 0.6229, 0.3173)  1 V 2.36, 1 Cu 2.48


(8)
First-principles (PBE) data for a geometry-optimized Rb3YCu2Cl9 structure, as listed in the Alexandria database.

Properties
Spin magnetization (μB per formula unit): 1.06
Calculated volume (Å³ per atom): 26.853
Formation energy without anion corrections (eV per formula unit): -23.4
Symmetry: No. 164

a = 7.2152 Å, b = 7.2152 Å, c = 8.9340 Å
α = 90.00°, β = 90.00°, γ = 120.00°
Last column: nearest neighbours and their distance in Å.
Atoms (fractional coordinates):
Rb (0.0000, 0.0000, 0.0000)  12 Cl 3.61-3.63
Rb (0.3333, 0.6667, 0.6824)  12 Cl 3.52-3.76
Rb (0.6667, 0.3333, 0.3176)  12 Cl 3.52-3.76
Y (0.0000, 0.0000, 0.5000)  6 Cl 2.63
Cu (0.3333, 0.6667, 0.1364)  6 Cl 2.41-2.65
Cu (0.6667, 0.3333, 0.8636)  6 Cl 2.41-2.65
Cl (0.0000, 0.5000, 0.0000)  2 Cu 2.41
Cl (0.1713, 0.3426, 0.3282)  1 Y 2.63, 1 Cu 2.65
Cl (0.1713, 0.8287, 0.3282)  1 Y 2.63, 1 Cu 2.65
Cl (0.3426, 0.1713, 0.6718)  1 Y 2.63, 1 Cu 2.65
Cl (0.5000, 0.0000, 0.0000)  2 Cu 2.41
Cl (0.5000, 0.5000, 0.0000)  2 Cu 2.41
Cl (0.6574, 0.8287, 0.3282)  1 Y 2.63, 1 Cu 2.65
Cl (0.8287, 0.1713, 0.6718)  1 Y 2.63, 1 Cu 2.65
Cl (0.8287, 0.6574, 0.6718)  1 Y 2.63, 1 Cu 2.65


(9)
First-principles (PBE) data for a geometry-optimized Rb2ZnCu2Cl6 structure, as listed in the Alexandria database.

Properties
Spin magnetization (μB per formula unit): 0.00
Calculated volume (Å³ per atom): 26.108
Formation energy without anion corrections (eV per formula unit): -12.6
Symmetry: No. 12

a = 7.2786 Å, b = 7.2786 Å, c = 7.3272 Å
α = 116.02°, β = 116.02°, γ = 58.92°
Last column: nearest neighbours and their distance in Å.
Atoms (fractional coordinates):
Rb (0.2281, 0.2281, 0.2044)  7 Cl 3.36-3.66, 1 Cu 3.65
Rb (0.7719, 0.7719, 0.7956)  7 Cl 3.36-3.66, 1 Cu 3.65
Zn (0.0000, 0.0000, 0.5000)  6 Cl 2.48-2.60
Cu (0.4351, 0.4351, 0.7750)  3 Cl 2.24-2.25
Cu (0.5649, 0.5649, 0.2250)  3 Cl 2.24-2.25
Cl (0.2073, 0.7331, 0.2316)  1 Cu 2.25, 1 Zn 2.48
Cl (0.2365, 0.2365, 0.6769)  1 Cu 2.24
Cl (0.2669, 0.7927, 0.7684)  1 Cu 2.25, 1 Zn 2.48
Cl (0.7331, 0.2073, 0.2316)  1 Cu 2.25, 1 Zn 2.48
Cl (0.7635, 0.7635, 0.3231)  1 Cu 2.24
Cl (0.7927, 0.2669, 0.7684)  1 Cu 2.25, 1 Zn 2.48


(10)
First-principles (PBE) data for a geometry-optimized Rb2ZnCuCl6 structure, as listed in the Alexandria database.

Properties
Spin magnetization (μB per formula unit): 0.00
Calculated volume (Å³ per atom): 24.161
Formation energy without anion corrections (eV per formula unit): -12.0
Symmetry: No. 139

a = 6.8734 Å, b = 6.8734 Å, c = 6.8734 Å
α = 115.95°, β = 115.95°, γ = 97.17°
Last column: nearest neighbours and their distance in Å.
Atoms (fractional coordinates):
Rb (0.2500, 0.7500, 0.5000)  12 Cl 3.44-3.65
Rb (0.7500, 0.2500, 0.5000)  12 Cl 3.44-3.65
Zn (0.0000, 0.0000, 0.0000)  6 Cl 2.37-2.50
Cu (0.5000, 0.5000, 0.0000)  2 Cl 2.18
Cl (0.2428, 0.2428, 0.4856)  1 Zn 2.50, 1 Cu 2.65
Cl (0.2428, 0.7572, 0.0000)  1 Zn 2.50, 1 Cu 2.65
Cl (0.2605, 0.2605, 0.0000)  1 Cu 2.18, 1 Zn 2.37
Cl (0.7395, 0.7395, 0.0000)  1 Cu 2.18, 1 Zn 2.37
Cl (0.7572, 0.2428, 0.0000)  1 Zn 2.50, 1 Cu 2.65
Cl (0.7572, 0.7572, 0.5144)  1 Zn 2.50, 1 Cu 2.65


(11)
First-principles (PBE) data for a geometry-optimized Rb2ZnCuCl5 structure, as listed in the Alexandria database.

Properties
Spin magnetization (μB per formula unit): 0.00
Calculated volume (Å³ per atom): 30.355
Formation energy without anion corrections (eV per formula unit): -12.1
Symmetry: No. 36

a = 9.7894 Å, b = 9.7894 Å, c = 14.2382 Å
α = 90.00°, β = 90.00°, γ = 156.39°
Last column: nearest neighbours and their distance in Å.
Atoms (fractional coordinates):
Rb (0.0935, 0.9065, 0.5000)  7 Cl 3.25-3.59
Rb (0.1602, 0.8398, 0.1597)  7 Cl 3.26-3.41
Rb (0.8398, 0.1602, 0.6597)  7 Cl 3.26-3.41
Rb (0.9065, 0.0935, 0.0000)  7 Cl 3.25-3.59
Zn (0.4409, 0.5591, 0.2392)  4 Cl 2.25-2.38
Zn (0.5591, 0.4409, 0.7392)  4 Cl 2.25-2.38
Cu (0.2465, 0.7535, 0.9254)  3 Cl 2.25-2.27
Cu (0.7535, 0.2465, 0.4254)  3 Cl 2.25-2.27
Cl (0.0431, 0.9569, 0.8271)  2 Zn 2.38
Cl (0.2955, 0.7045, 0.4753)  2 Cu 2.27
Cl (0.3364, 0.6636, 0.1669)  1 Zn 2.25
Cl (0.3455, 0.6545, 0.8403)  1 Cu 2.25
Cl (0.4789, 0.5211, 0.6197)  1 Zn 2.29
Cl (0.5211, 0.4789, 0.1197)  1 Zn 2.29
Cl (0.6545, 0.3455, 0.3403)  1 Cu 2.25
Cl (0.6636, 0.3364, 0.6669)  1 Zn 2.25
Cl (0.7045, 0.2955, 0.9753)  2 Cu 2.27
Cl (0.9569, 0.0431, 0.3271)  2 Zn 2.38


(12)
First-principles (PBE) data for a geometry-optimized RbZn2CuCl6 structure, as listed in the Alexandria database.

Properties
Spin magnetization (μB per formula unit): 0.12
Calculated volume (Å³ per atom): 30.841
Formation energy without anion corrections (eV per formula unit): -11.7
Symmetry: No. 15

a = 10.0588 Å, b = 10.0588 Å, c = 6.2703 Å
α = 97.23°, β = 97.23°, γ = 97.87°
Last column: nearest neighbours and their distance in Å.
Atoms (fractional coordinates):
Rb (0.1159, 0.8841, 0.7500)  6 Cl 3.37-3.58
Rb (0.8841, 0.1159, 0.2500)  6 Cl 3.37-3.58
Zn (0.2328, 0.3743, 0.8010)  4 Cl 2.23-2.34
Zn (0.3743, 0.2328, 0.3010)  4 Cl 2.23-2.34
Zn (0.6257, 0.7672, 0.6990)  4 Cl 2.23-2.34
Zn (0.7672, 0.6257, 0.1990)  4 Cl 2.23-2.34
Cu (0.3256, 0.6744, 0.2500)  2 Cl 2.15
Cu (0.6744, 0.3256, 0.7500)  2 Cl 2.15
Cl (0.0500, 0.2157, 0.7584)  1 Zn 2.23
Cl (0.1915, 0.5831, 0.9587)  1 Cu 2.15, 1 Zn 2.32
Cl (0.2157, 0.0500, 0.2584)  1 Zn 2.23
Cl (0.3026, 0.4230, 0.4728)  2 Zn 2.32-2.34
Cl (0.4169, 0.8085, 0.5413)  1 Cu 2.15, 1 Zn 2.32
Cl (0.4230, 0.3026, 0.9728)  2 Zn 2.32-2.34
Cl (0.5770, 0.6974, 0.0272)  2 Zn 2.32-2.34
Cl (0.5831, 0.1915, 0.4587)  1 Cu 2.15, 1 Zn 2.32
Cl (0.6974, 0.5770, 0.5272)  2 Zn 2.32-2.34
Cl (0.7843, 0.9500, 0.7416)  1 Zn 2.23
Cl (0.8085, 0.4169, 0.0413)  1 Cu 2.15, 1 Zn 2.32
Cl (0.9500, 0.7843, 0.2416)  1 Zn 2.23


Which of these has the lowest calculated volume?
Rb2ZnCuCl6


Which formula does entry 7 have?
RbVCuCl6


Copy entry 11 word for word.
First-principles (PBE) data for a geometry-optimized Rb2ZnCuCl5 structure, as listed in the Alexandria database.

Properties
Spin magnetization (μB per formula unit): 0.00
Calculated volume (Å³ per atom): 30.355
Formation energy without anion corrections (eV per formula unit): -12.1
Symmetry: No. 36

a = 9.7894 Å, b = 9.7894 Å, c = 14.2382 Å
α = 90.00°, β = 90.00°, γ = 156.39°
Last column: nearest neighbours and their distance in Å.
Atoms (fractional coordinates):
Rb (0.0935, 0.9065, 0.5000)  7 Cl 3.25-3.59
Rb (0.1602, 0.8398, 0.1597)  7 Cl 3.26-3.41
Rb (0.8398, 0.1602, 0.6597)  7 Cl 3.26-3.41
Rb (0.9065, 0.0935, 0.0000)  7 Cl 3.25-3.59
Zn (0.4409, 0.5591, 0.2392)  4 Cl 2.25-2.38
Zn (0.5591, 0.4409, 0.7392)  4 Cl 2.25-2.38
Cu (0.2465, 0.7535, 0.9254)  3 Cl 2.25-2.27
Cu (0.7535, 0.2465, 0.4254)  3 Cl 2.25-2.27
Cl (0.0431, 0.9569, 0.8271)  2 Zn 2.38
Cl (0.2955, 0.7045, 0.4753)  2 Cu 2.27
Cl (0.3364, 0.6636, 0.1669)  1 Zn 2.25
Cl (0.3455, 0.6545, 0.8403)  1 Cu 2.25
Cl (0.4789, 0.5211, 0.6197)  1 Zn 2.29
Cl (0.5211, 0.4789, 0.1197)  1 Zn 2.29
Cl (0.6545, 0.3455, 0.3403)  1 Cu 2.25
Cl (0.6636, 0.3364, 0.6669)  1 Zn 2.25
Cl (0.7045, 0.2955, 0.9753)  2 Cu 2.27
Cl (0.9569, 0.0431, 0.3271)  2 Zn 2.38